(1)
Computed, not measured: crystalline Pm3Sm12Zn at its relaxed geometry at the GGA-PBE level of DFT.

POSCAR file:
```
Pm3Sm12Zn
1.0
5.057 0.000 0.000
0.000 5.057 0.000
0.000 0.000 20.371
Sm Pm Zn
12 3 1
Cartesian
0.000 2.529 7.577
2.529 0.000 2.377
2.529 0.000 17.995
0.000 2.529 12.795
0.000 2.529 17.995
2.529 2.529 10.186
2.529 2.529 15.454
2.529 2.529 0.000
2.529 0.000 7.577
0.000 2.529 2.377
2.529 0.000 12.795
2.529 2.529 4.917
0.000 0.000 15.390
0.000 0.000 10.186
0.000 0.000 4.981
0.000 0.000 0.000
```

Computed properties:
Space-group type: P4/mmm, No. 123
Total magnetic moment, μB/f.u.: 0.0


(2)
Computed, not measured: crystalline Pm2SmZn2 at its relaxed geometry at the GGA-PBE level of DFT.

POSCAR file:
```
Pm2SmZn2
1.0
-3.472 -2.407 -1.376
2.782 -2.452 -2.731
0.674 -7.377 11.208
Pm Zn Sm
4 4 2
Cartesian
0.222 -5.140 4.847
-0.238 -7.096 2.255
2.356 -9.481 7.057
-2.371 -2.755 0.044
1.897 -7.549 4.835
-0.633 -10.000 8.334
0.618 -2.237 -1.233
-1.912 -4.688 2.267
1.087 -4.159 0.948
-1.102 -8.077 6.154
```

Computed properties:
Space-group type: P2_1/m, No. 11
Total magnetic moment, μB/f.u.: 0.0


(3)
Computed, not measured: crystalline PmSmZn at its relaxed geometry at the GGA-PBE level of DFT.

POSCAR file:
```
PmSmZn
1.0
3.667 0.000 0.000
0.000 3.667 0.000
-1.834 -1.834 6.196
Pm Zn Sm
1 1 1
Cartesian
0.000 0.000 3.864
1.834 1.834 2.051
0.000 0.000 0.280
```

Computed properties:
Space-group type: I4mm, No. 107
Total magnetic moment, μB/f.u.: 0.0


(4)
Computed, not measured: crystalline Pm2SmZn3 at its relaxed geometry at the GGA-PBE level of DFT.

POSCAR file:
```
Pm2SmZn3
1.0
3.653 0.000 0.000
0.000 3.653 0.000
0.000 0.000 10.979
Pm Sm Zn
2 1 3
Cartesian
1.827 1.827 9.143
1.827 1.827 1.836
1.827 1.827 5.490
0.000 0.000 3.677
0.000 0.000 7.302
0.000 0.000 0.000
```

Computed properties:
Space-group type: P4/mmm, No. 123
Total magnetic moment, μB/f.u.: 0.0


So what do the calculations give for E_tot? Going down the list: -0.165 -0.129 -0.139 -0.122 hartree per atom.